# 1
# Ba2SrPb | the Alexandria database | PBE | relaxed
data_Ba2SrPb
_chemical_formula_sum 'Ba2 Sr1 Pb1'
_cell_length_a 4.439
_cell_length_b 4.439
_cell_length_c 10.151
_cell_angle_alpha 90.00
_cell_angle_beta 90.00
_cell_angle_gamma 90.00
_symmetry_space_group_name_H-M 'P 4/m m m'
_symmetry_Int_Tables_number 123
_symmetry_space_group_name_Hall '-P 4 2'
loop_
_atom_site_label
_atom_site_type_symbol
_atom_site_fract_x
_atom_site_fract_y
_atom_site_fract_z
_atom_site_occupancy
Ba1 Ba 0.000 0.000 0.189 1
Sr1 Sr 0.500 0.500 0.500 1
Pb1 Pb 0.500 0.500 0.000 1
# DFT total energy, eV/atom: -2.58
# Energy relative to the elements, meV/atom: -270

---

# 2
# Ba2SrPb | the Alexandria database | PBE | relaxed
data_Ba2SrPb
_chemical_formula_sum 'Ba6 Sr3 Pb3'
_cell_length_a 4.3950
_cell_length_b 4.3950
_cell_length_c 37.9001
_cell_angle_alpha 90.00
_cell_angle_beta 90.00
_cell_angle_gamma 120.00
_symmetry_space_group_name_H-M 'R -3 m'
_symmetry_Int_Tables_number 166
_symmetry_space_group_name_Hall '-R 3 2"'
loop_
_atom_site_label
_atom_site_type_symbol
_atom_site_fract_x
_atom_site_fract_y
_atom_site_fract_z
_atom_site_occupancy
Ba1 Ba 0.0000 0.0000 0.2329 1
Sr1 Sr 0.0000 0.0000 0.0000 1
Pb1 Pb 0.0000 0.0000 0.5000 1
# DFT total energy, eV/atom: -2.47
# Energy relative to the elements, meV/atom: -160

---

# 3
# BaSrPb | the Alexandria database | PBE | relaxed
data_BaSrPb
_chemical_formula_sum 'Ba1 Sr1 Pb1'
_cell_length_a 5.7424
_cell_length_b 5.7424
_cell_length_c 4.4916
_cell_angle_alpha 90.00
_cell_angle_beta 90.00
_cell_angle_gamma 120.00
_symmetry_space_group_name_H-M 'P 3 m 1'
_symmetry_Int_Tables_number 156
_symmetry_space_group_name_Hall 'P 3 -2"'
loop_
_atom_site_label
_atom_site_type_symbol
_atom_site_fract_x
_atom_site_fract_y
_atom_site_fract_z
_atom_site_occupancy
Ba1 Ba 0.0000 0.0000 0.0000 1
Sr1 Sr 0.3333 0.6667 0.5390 1
Pb1 Pb 0.6667 0.3333 0.3518 1
# DFT total energy, eV/atom: -2.80
# Energy relative to the elements, meV/atom: -361